## LiTlMo2 (PBE)

Data for a geometry-optimized LiTlMo2 structure.

Cell lengths 4.5670, 4.5670, 4.5670 Å; angles 60.00, 60.00, 60.00 degrees
Atoms (fractional coordinates):
Mo1 0.2500 0.2500 0.2500
Mo2 0.7500 0.7500 0.7500
Tl1 0.5000 0.5000 0.5000
Li1 0.0000 0.0000 0.0000

Properties
The symmetry is No. 225. As for the energy relative to the elements: 0.93 eV/atom. As for the excess energy over the best structure of this formula in the dataset: 643.0 meV/atom. For the magnetic moment, the calculation gives 0.00 μB/cell.